The following is a SCAN calculation of a PBEsol-optimized structure of Sc2SbPt, from the Alexandria database.

Computed properties:
Formation energy without anion corrections (eV per atom): -0.6310

Cell lengths 3.6446, 3.6446, 26.5990 Å; angles 90.00, 90.00, 120.00 degrees
Last column: nearest neighbours and their distance in Å.
Space group R-3m (No. 166, hexagonal axes)
One atom of each set of equivalent atoms:
Sc 0.0000 0.0000 0.1089 (multiplicity 6)  3 Pt 2.61, 1 Sb 2.90
Sb 0.0000 0.0000 0.0000 (multiplicity 3)  2 Sc 2.90
Pt 0.0000 0.0000 0.5000 (multiplicity 3)  6 Sc 2.61

=====

The following is a SCAN calculation of a PBEsol-optimized structure of Li3In, from the Alexandria database.

Computed properties:
Energy of formation from the pure elements (eV per formula unit): -1.079

Cell lengths 4.1774, 4.1774, 4.1774 Å; angles 90.00, 90.00, 90.00 degrees
Last column: nearest neighbours and their distance in Å.
Space group Pm-3m (No. 221)
One atom of each set of equivalent atoms:
Li 0.0000 0.0000 0.5000 (multiplicity 3)  4 In 2.95, 8 Li 2.95
In 0.5000 0.5000 0.5000 (multiplicity 1)  12 Li 2.95

=====

The following is a SCAN calculation of a PBEsol-optimized structure of LiF, from the Alexandria database.

Computed properties:
Formation energy without anion corrections (eV per atom): -3.1601

Cell lengths 3.9958, 3.9958, 3.9958 Å; angles 90.00, 90.00, 90.00 degrees
Last column: nearest neighbours and their distance in Å.
Space group Fm-3m (No. 225)
One atom of each set of equivalent atoms:
Li 0.0000 0.0000 0.0000 (multiplicity 4)  6 F 2.00
F 0.0000 0.0000 0.5000 (multiplicity 4)  6 Li 2.00

=====

no.,raw total energy (eV per atom),magnetization (μB per atom)
1,-34.61,0.00
2,-10.41,0.04
3,-6.13,0.00